(1)
This record from the Alexandria database describes a relaxed GdScBeGa crystal. The functional is PBE-GGA.

Results
Total moment = 7.320 μB per formula unit
VASP energy = -7.045 eV per atom
Space group = F-43m (216)
Calculated formation energy = -0.25 eV/atom

extended XYZ file:
```
4
Lattice="4.8175 0.0000 0.0000 2.4087 4.1721 0.0000 2.4087 1.3907 3.9335" Properties=species:S:1:pos:R:3 pbc="T T T"
Sc 0.0000 0.0000 0.0000
Ga 7.2262 4.1721 2.9501
Be 2.4087 1.3907 0.9834
Gd 4.8175 2.7814 1.9667
```

---

(2)
This record from the Alexandria database describes a relaxed TbGdBeGa crystal. The functional is PBE-GGA.

Results
Total moment = 7.462 μB per formula unit
VASP energy = -6.591 eV per atom
Space group = F-43m (216)
Calculated formation energy = -0.22 eV/atom

extended XYZ file:
```
4
Lattice="4.9872 0.0000 0.0000 2.4936 4.3191 0.0000 2.4936 1.4397 4.0721" Properties=species:S:1:pos:R:3 pbc="T T T"
Gd 4.9872 2.8794 2.0360
Ga 2.4936 1.4397 1.0180
Tb 0.0000 0.0000 0.0000
Be 7.4809 4.3191 3.0540
```

---

(3)
This record from the Alexandria database describes a relaxed GdTmBeGa crystal. The functional is PBE-GGA.

Results
Total moment = 7.346 μB per formula unit
VASP energy = -6.561 eV per atom
Space group = F-43m (216)
Calculated formation energy = -0.23 eV/atom

extended XYZ file:
```
4
Lattice="-3.9417 1.1651 -2.7331 -2.5716 -3.5537 -2.2634 -4.5300 -1.1578 1.5823" Properties=species:S:1:pos:R:3 pbc="T T T"
Be -2.7608 -0.8866 -0.8536
Ga -8.2825 -2.6598 -2.5607
Gd 0.0000 0.0000 0.0000
Tm -5.5217 -1.7732 -1.7071
```

---

(4)
This record from the Alexandria database describes a relaxed BeGaGe crystal. The functional is PBE-GGA.

Results
Total moment = 0.000 μB per formula unit
VASP energy = -3.587 eV per atom
Energy relative to the lowest polymorph listed for this composition = 0.044 eV per atom
Space group = R3m (160)
Calculated formation energy = 0.20 eV/atom

extended XYZ file:
```
18
Lattice="-0.9188 -2.2121 -2.8558 3.4872 -0.0077 1.3165 -5.9179 -17.6439 15.5711" Properties=species:S:1:pos:R:3 pbc="T T T"
Ga -3.9110 -14.7772 10.2723
Ga -0.8945 -9.4276 7.5905
Ga -0.3906 -4.2811 1.0093
Ga -2.4882 -7.4186 6.5470
Ga -4.8857 -14.5663 12.8551
Ga 1.5029 -2.2798 1.2824
Be -5.1674 -18.5229 13.5780
Be -1.0183 -6.1526 2.6610
Be 0.2465 -6.0256 4.5881
Be -3.7446 -11.1643 9.8527
Be -5.5134 -16.4379 14.5067
Be -1.5223 -11.2991 9.2422
Ge -1.3738 -4.0960 3.6148
Ge -3.3006 -16.6012 13.9213
Ge -1.5646 -7.7815 4.0985
Ge -0.1418 -0.4229 0.3732
Ge -2.7966 -11.4547 7.3401
Ge -2.0686 -12.9280 10.6797
```

---

(5)
This record from the Alexandria database describes a relaxed BeGa3Ge crystal. The functional is PBE-GGA.

Results
Total moment = 0.000 μB per formula unit
VASP energy = -2.608 eV per atom
Energy relative to the lowest polymorph listed for this composition = 0.523 eV per atom
Space group = Pm-3m (221)
Calculated formation energy = 0.88 eV/atom

extended XYZ file:
```
5
Lattice="-3.1811 -0.0776 3.7997 3.6941 -1.2274 3.0676 0.8930 4.8011 0.8456" Properties=species:S:1:pos:R:3 pbc="T T T"
Ga 0.4465 2.4006 0.4228
Ga 1.8471 -0.6137 1.5338
Ga -1.5906 -0.0388 1.8999
Ge 0.0000 0.0000 0.0000
Be 0.7030 1.7481 3.8565
```

---

(6)
This record from the Alexandria database describes a relaxed BeGaGe2 crystal. The functional is PBE-GGA.

Results
Total moment = 0.000 μB per formula unit
VASP energy = -3.755 eV per atom
Energy relative to the lowest polymorph listed for this composition = 0.000 eV per atom
Space group = I-42d (122)
Calculated formation energy = 0.24 eV/atom

extended XYZ file:
```
8
Lattice="-3.2085 1.8440 -2.7984 -3.1619 -0.3814 3.3739 -1.5111 7.1214 2.5790" Properties=species:S:1:pos:R:3 pbc="T T T"
Ge -2.5835 2.7732 -0.5126
Ge -3.7141 5.8664 2.3549
Ge -2.9498 1.8844 2.2337
Ge -6.5154 6.6440 2.2329
Ga 0.0000 0.0000 0.0000
Ga -3.9524 4.8484 0.0341
Be -3.9291 3.7357 3.1203
Be -3.1852 0.7313 0.2877
```